Material: YGe2H
Method: DFT, PBE
State: optimized geometry

Calculated values
SG: Fm-3m, No. 225
Fermi-level density of states (states/eV/cell): 2.4
Uncorrected energy (eV/atom): -4.397
E above lowest polymorph (eV per atom): 0.330
Calculated volume (Å³ per cell): 76.79

Cell: 4.7709 4.7709 4.7709 Å, 60.00 60.00 60.00°
Sites, in units of the cell vectors:
Y 0.0000 0.0000 0.0000
Ge 0.2500 0.2500 0.2500
Ge 0.7500 0.7500 0.7500
H 0.5000 0.5000 0.5000